Record 1
{"formula": "MgAl3Se", "functional": "PBE-GGA", "state": "relaxed", "lattice_angstrom": [[5.109, 0.000, 0.000], [0.000, 5.109, 0.000], [0.000, 0.000, 5.109]], "species": ["Mg", "Al", "Al", "Al", "Se"], "fractional_positions": [[0.000, 0.000, 0.000], [0.000, 0.000, 0.500], [0.000, 0.500, 0.000], [0.500, 0.000, 0.000], [0.500, 0.500, 0.500]], "dos_ef_per_ev_atom": 0.426, "final_energy_ev_per_atom": -2.524, "e_above_lowest_polymorph_ev_per_atom": 0.190, "raw_formation_energy_ev_per_atom": 0.74}

---

Record 2
{"formula": "MgAl2Se", "functional": "PBE-GGA", "state": "relaxed", "lattice_angstrom": [[2.837, -3.993, 0.000], [2.837, 3.993, 0.000], [0.000, 0.000, 3.518]], "species": ["Mg", "Al", "Al", "Se"], "fractional_positions": [[0.000, 0.000, 0.000], [0.000, 0.500, 0.500], [0.500, 0.000, 0.500], [0.500, 0.500, 0.000]], "dos_ef_per_ev_atom": 0.483, "final_energy_ev_per_atom": -3.168, "e_above_lowest_polymorph_ev_per_atom": 0.169, "raw_formation_energy_ev_per_atom": -0.03}

---

Record 3
{"formula": "Mg2Al2Se5", "functional": "PBE-GGA", "state": "relaxed", "lattice_angstrom": [[3.917, 0.000, 0.000], [-1.958, 3.392, 0.000], [0.000, 0.000, 16.889]], "species": ["Mg", "Mg", "Al", "Al", "Se", "Se", "Se", "Se", "Se"], "fractional_positions": [[0.333, 0.667, 0.095], [0.667, 0.333, 0.905], [0.333, 0.667, 0.684], [0.667, 0.333, 0.316], [0.000, 0.000, 0.000], [0.333, 0.667, 0.380], [0.333, 0.667, 0.821], [0.667, 0.333, 0.179], [0.667, 0.333, 0.620]], "final_energy_ev_per_atom": -4.148, "raw_formation_energy_ev_per_atom": -1.03}

---

Record 4
{"formula": "MgAl2Se", "functional": "PBE-GGA", "state": "relaxed", "lattice_angstrom": [[-1.719, 2.226, 5.080], [1.719, -2.226, 5.080], [1.719, 2.226, -5.080]], "species": ["Mg", "Al", "Al", "Se"], "fractional_positions": [[0.000, 0.000, 0.000], [0.271, 0.771, 0.500], [0.729, 0.229, 0.500], [0.500, 0.500, 0.000]], "dos_ef_per_ev_atom": 0.201, "final_energy_ev_per_atom": -3.325, "e_above_lowest_polymorph_ev_per_atom": 0.012, "raw_formation_energy_ev_per_atom": -0.18}

---

Record 5
{"formula": "MgAlSe2", "functional": "PBE-GGA", "state": "relaxed", "lattice_angstrom": [[-1.841, 3.627, 3.688], [1.841, -3.627, 3.688], [1.841, 3.627, -3.688]], "species": ["Mg", "Al", "Se", "Se"], "fractional_positions": [[0.000, 0.000, 0.000], [0.500, 0.500, 0.000], [0.258, 0.758, 0.500], [0.742, 0.242, 0.500]], "dos_ef_per_ev_atom": 0.265, "final_energy_ev_per_atom": -3.584, "e_above_lowest_polymorph_ev_per_atom": 0.314, "raw_formation_energy_ev_per_atom": -0.51}

---

Record 6
{"formula": "MgAl2Se", "functional": "PBE-GGA", "state": "relaxed", "lattice_angstrom": [[-2.076, 2.076, 4.586], [2.076, -2.076, 4.586], [2.076, 2.076, -4.586]], "species": ["Mg", "Al", "Al", "Se"], "fractional_positions": [[0.000, 0.000, 0.000], [0.500, 0.500, 0.000], [0.750, 0.250, 0.500], [0.250, 0.750, 0.500]], "dos_ef_per_ev_atom": 0.288, "final_energy_ev_per_atom": -3.148, "e_above_lowest_polymorph_ev_per_atom": 0.189, "raw_formation_energy_ev_per_atom": -0.01}

---

Record 7
{"formula": "MgAlSe2", "functional": "PBE-GGA", "state": "relaxed", "lattice_angstrom": [[1.997, 1.153, 7.708], [-1.997, 1.153, 7.708], [0.000, -2.305, 7.708]], "species": ["Mg", "Al", "Se", "Se"], "fractional_positions": [[0.000, 0.000, 0.000], [0.776, 0.776, 0.776], [0.295, 0.295, 0.295], [0.491, 0.491, 0.491]], "dos_ef_per_ev_atom": 0.614, "final_energy_ev_per_atom": -3.573, "e_above_lowest_polymorph_ev_per_atom": 0.325, "raw_formation_energy_ev_per_atom": -0.50}

---

Record 8
{"formula": "MgAlSe4", "functional": "PBE-GGA", "state": "relaxed", "lattice_angstrom": [[0.000, 4.097, 4.097], [4.097, 0.000, 4.097], [4.097, 4.097, 0.000]], "species": ["Mg", "Al", "Se", "Se", "Se", "Se"], "fractional_positions": [[0.000, 0.000, 0.000], [0.250, 0.250, 0.250], [0.123, 0.626, 0.626], [0.626, 0.123, 0.626], [0.626, 0.626, 0.123], [0.626, 0.626, 0.626]], "dos_ef_per_ev_atom": 0.299, "final_energy_ev_per_atom": -2.881, "raw_formation_energy_ev_per_atom": 0.33}